First-principles (PBE) data for an optimized crystal structure of La2Cd3Pt2, as listed in Alexandria via LeMat-Bulk.

Cell and atoms, written as CIF:
```
data_La2Cd3Pt2
_symmetry_space_group_name_H-M 'C 1 2/m 1'
_symmetry_Int_Tables_number 12
_symmetry_space_group_name_Hall '-C 2y'
_cell_length_a 10.5918
_cell_length_b 4.1465
_cell_length_c 7.8151
_cell_angle_alpha 90.00
_cell_angle_beta 94.58
_cell_angle_gamma 90.00
loop_
_atom_site_label
_atom_site_type_symbol
_atom_site_fract_x
_atom_site_fract_y
_atom_site_fract_z
_atom_site_occupancy
La1 La 0.1238 0.0000 0.3494 1
Cd1 Cd 0.0000 0.5000 0.0000 1
Cd2 Cd 0.1838 0.0000 0.8747 1
Pt1 Pt 0.0956 0.5000 0.6383 1
```

total DFT energy (no corrections): -4.237 eV/atom
energy relative to the elements: -0.71 eV per atom
magnetization: 0.00 Bohr magnetons per cell